1.
Computed, not measured: a relaxed Ba8PPt3Br3 crystal at the PBE level of DFT.

Values from the calculation:
E_form (uncorrected) in meV per atom: -1179
DOS(E_F) in states/eV per cell: 9.0
Total magnetization in μB/f.u.: 0.07

Geometry as CIF:
```
data_Ba8PPt3Br3
_chemical_formula_sum 'Ba8 P1 Pt3 Br3'
_cell_length_a 9.3183
_cell_length_b 9.3201
_cell_length_c 9.6725
_cell_angle_alpha 118.84
_cell_angle_beta 90.00
_cell_angle_gamma 119.99
_space_group_name_H-M_alt 'P 1'
_space_group_IT_number 1
loop_
_space_group_symop_operation_xyz
'x,y,z'
loop_
_atom_site_label
_atom_site_fract_x
_atom_site_fract_y
_atom_site_fract_z
_atom_site_occupancy
Br1 0.0000 0.5000 0.0000 1
Pt1 0.5000 0.0000 0.5000 1
Br2 0.0000 0.0000 0.0000 1
P1 0.0000 0.0000 0.5000 1
Pt2 0.0000 0.5000 0.5000 1
Ba1 0.2376 0.4752 0.7108 1
Ba2 0.7407 0.4814 0.7217 1
Ba3 0.2593 0.5186 0.2783 1
Ba4 0.7624 0.0265 0.2893 1
Ba5 0.2642 0.0266 0.2893 1
Br3 0.5000 0.5000 0.0000 1
Ba6 0.2376 0.9735 0.7107 1
Pt3 0.5000 0.5000 0.5000 1
Ba7 0.7624 0.5248 0.2892 1
Ba8 0.7358 0.9734 0.7107 1
```



2.
Computed, not measured: a relaxed Ba4PPtBr2 crystal at the PBE level of DFT.

Values from the calculation:
E_form (uncorrected) in meV per atom: -1401
DOS(E_F) in states/eV per cell: 3.3
Total magnetization in μB/f.u.: 0.00

Geometry as CIF:
```
data_Ba4PPtBr2
_chemical_formula_sum 'Ba4 P1 Pt1 Br2'
_cell_length_a 4.6403
_cell_length_b 8.1102
_cell_length_c 8.4622
_cell_angle_alpha 107.13
_cell_angle_beta 90.00
_cell_angle_gamma 90.00
_space_group_name_H-M_alt 'P 1'
_space_group_IT_number 1
loop_
_space_group_symop_operation_xyz
'x,y,z'
loop_
_atom_site_label
_atom_site_fract_x
_atom_site_fract_y
_atom_site_fract_z
_atom_site_occupancy
Br1 0.0000 0.5000 0.5000 1
Ba1 0.0000 0.2602 0.7939 1
Pt1 0.0000 0.0000 0.0000 1
Ba2 0.5000 0.2407 0.2168 1
P1 0.5000 0.5000 0.0000 1
Ba3 0.5000 0.7593 0.7832 1
Br2 0.5000 0.0000 0.5000 1
Ba4 0.0000 0.7398 0.2061 1
```



3.
Computed, not measured: a relaxed Ba8P3PtBr3 crystal at the PBE level of DFT.

Values from the calculation:
E_form (uncorrected) in meV per atom: -1333
DOS(E_F) in states/eV per cell: 2.7
Total magnetization in μB/f.u.: 0.00

Geometry as CIF:
```
data_Ba8P3PtBr3
_chemical_formula_sum 'Ba8 P3 Pt1 Br3'
_cell_length_a 9.3884
_cell_length_b 9.3888
_cell_length_c 9.5825
_cell_angle_alpha 119.34
_cell_angle_beta 90.00
_cell_angle_gamma 120.00
_space_group_name_H-M_alt 'P 1'
_space_group_IT_number 1
loop_
_space_group_symop_operation_xyz
'x,y,z'
loop_
_atom_site_label
_atom_site_fract_x
_atom_site_fract_y
_atom_site_fract_z
_atom_site_occupancy
Ba1 0.2678 0.0257 0.2836 1
P1 0.0000 0.5000 0.5000 1
Ba2 0.7322 0.9743 0.7164 1
P2 0.5000 0.0000 0.5000 1
Ba3 0.7578 0.0257 0.2836 1
Pt1 0.0000 0.0000 0.5000 1
Br1 0.0000 0.0000 0.0000 1
Ba4 0.7390 0.4780 0.7169 1
Ba5 0.2422 0.9743 0.7164 1
Br2 0.0000 0.5000 0.0000 1
Ba6 0.2610 0.5220 0.2831 1
Ba7 0.2422 0.4844 0.7165 1
Ba8 0.7578 0.5156 0.2835 1
P3 0.5000 0.5000 0.5000 1
Br3 0.5000 0.5000 0.0000 1
```



4.
Computed, not measured: a relaxed Ba2PPtBr crystal at the PBE level of DFT.

Values from the calculation:
E_form (uncorrected) in meV per atom: -1158
DOS(E_F) in states/eV per cell: 2.4
Total magnetization in μB/f.u.: 0.00

Geometry as CIF:
```
data_Ba2PPtBr
_chemical_formula_sum 'Ba2 P1 Pt1 Br1'
_cell_length_a 6.2195
_cell_length_b 6.2195
_cell_length_c 4.4390
_cell_angle_alpha 90.00
_cell_angle_beta 90.00
_cell_angle_gamma 90.00
_space_group_name_H-M_alt 'P 1'
_space_group_IT_number 1
loop_
_space_group_symop_operation_xyz
'x,y,z'
loop_
_atom_site_label
_atom_site_fract_x
_atom_site_fract_y
_atom_site_fract_z
_atom_site_occupancy
P1 0.0000 0.0000 0.0000 1
Ba1 0.5000 0.0000 0.0000 1
Pt1 0.0000 0.0000 0.5000 1
Br1 0.5000 0.5000 0.5000 1
Ba2 0.0000 0.5000 0.0000 1
```



5.
Computed, not measured: a relaxed Ba8P3RhBr4 crystal at the PBE level of DFT.

Values from the calculation:
E_form (uncorrected) in meV per atom: -1418
Total magnetization in μB/f.u.: 0.00

Geometry as CIF:
```
data_Ba8P3RhBr4
_chemical_formula_sum 'Ba8 P3 Rh1 Br4'
_cell_length_a 9.3238
_cell_length_b 9.6627
_cell_length_c 9.3238
_cell_angle_alpha 118.85
_cell_angle_beta 120.00
_cell_angle_gamma 90.00
_space_group_name_H-M_alt 'P 1'
_space_group_IT_number 1
loop_
_space_group_symop_operation_xyz
'x,y,z'
loop_
_atom_site_label
_atom_site_fract_x
_atom_site_fract_y
_atom_site_fract_z
_atom_site_occupancy
Ba1 0.7659 0.2913 0.5317 1
Ba2 0.2341 0.7087 0.9746 1
P1 0.0000 0.5000 0.5000 1
P2 0.5000 0.5000 0.0000 1
Ba3 0.7659 0.2913 0.0254 1
Ba4 0.7405 0.7087 0.9746 1
P3 0.5000 0.5000 0.5000 1
Ba5 0.2621 0.2862 0.5241 1
Br1 0.5000 0.0000 0.0000 1
Rh1 0.0000 0.5000 0.0000 1
Ba6 0.7379 0.7138 0.4759 1
Br2 0.0000 0.0000 0.5000 1
Ba7 0.2341 0.7087 0.4683 1
Ba8 0.2595 0.2913 0.0254 1
Br3 0.5000 0.0000 0.5000 1
Br4 0.0000 0.0000 0.0000 1
```



6.
Computed, not measured: a relaxed Ba8P3RhBr3 crystal at the PBE level of DFT.

Values from the calculation:
E_form (uncorrected) in meV per atom: -1264
DOS(E_F) in states/eV per cell: 0.7
Total magnetization in μB/f.u.: 0.96

Geometry as CIF:
```
data_Ba8P3RhBr3
_chemical_formula_sum 'Ba8 P3 Rh1 Br3'
_cell_length_a 9.3565
_cell_length_b 9.3566
_cell_length_c 9.6195
_cell_angle_alpha 119.12
_cell_angle_beta 90.00
_cell_angle_gamma 120.00
_space_group_name_H-M_alt 'P 1'
_space_group_IT_number 1
loop_
_space_group_symop_operation_xyz
'x,y,z'
loop_
_atom_site_label
_atom_site_fract_x
_atom_site_fract_y
_atom_site_fract_z
_atom_site_occupancy
Ba1 0.7383 0.4765 0.7145 1
Br1 0.5000 0.5000 0.0000 1
P1 0.0000 0.5000 0.5000 1
Br2 0.0000 0.5000 0.0000 1
P2 0.5000 0.0000 0.5000 1
Ba2 0.7408 0.9749 0.7087 1
P3 0.5000 0.5000 0.5000 1
Ba3 0.2341 0.4682 0.7087 1
Ba4 0.7659 0.5318 0.2913 1
Ba5 0.2592 0.0251 0.2913 1
Ba6 0.2341 0.9749 0.7087 1
Ba7 0.2617 0.5235 0.2855 1
Ba8 0.7659 0.0251 0.2913 1
Br3 0.0000 0.0000 0.0000 1
Rh1 0.0000 0.0000 0.5000 1
```



7.
Computed, not measured: a relaxed Ba8PS3Br4 crystal at the PBE level of DFT.

Values from the calculation:
E_form (uncorrected) in meV per atom: -1801
DOS(E_F) in states/eV per cell: 5.9
Total magnetization in μB/f.u.: 0.00

Geometry as CIF:
```
data_Ba8PS3Br4
_chemical_formula_sum 'Ba8 P1 S3 Br4'
_cell_length_a 9.2094
_cell_length_b 9.4300
_cell_length_c 9.2094
_cell_angle_alpha 119.23
_cell_angle_beta 120.00
_cell_angle_gamma 90.00
_space_group_name_H-M_alt 'P 1'
_space_group_IT_number 1
loop_
_space_group_symop_operation_xyz
'x,y,z'
loop_
_atom_site_label
_atom_site_fract_x
_atom_site_fract_y
_atom_site_fract_z
_atom_site_occupancy
Ba1 0.2384 0.7189 0.9806 1
Ba2 0.7616 0.2811 0.0194 1
Br1 0.5000 0.0000 0.5000 1
S1 0.5000 0.5000 0.0000 1
Br2 0.5000 0.0000 0.0000 1
P1 0.0000 0.5000 0.0000 1
Ba3 0.7396 0.7187 0.4791 1
S2 0.5000 0.5000 0.5000 1
Br3 0.0000 0.0000 0.0000 1
S3 0.0000 0.5000 0.5000 1
Br4 0.0000 0.0000 0.5000 1
Ba4 0.7616 0.2812 0.5233 1
Ba5 0.2578 0.2811 0.0194 1
Ba6 0.7422 0.7189 0.9806 1
Ba7 0.2604 0.2813 0.5209 1
Ba8 0.2384 0.7188 0.4767 1
```



8.
Computed, not measured: a relaxed Ba6P2S3Br crystal at the PBE level of DFT.

Values from the calculation:
E_form (uncorrected) in meV per atom: -1637
DOS(E_F) in states/eV per cell: 8.3
Total magnetization in μB/f.u.: 1.09

Geometry as CIF:
```
data_Ba6P2S3Br
_chemical_formula_sum 'Ba6 P2 S3 Br1'
_cell_length_a 4.5454
_cell_length_b 9.4677
_cell_length_c 10.4083
_cell_angle_alpha 103.42
_cell_angle_beta 102.61
_cell_angle_gamma 90.00
_space_group_name_H-M_alt 'P 1'
_space_group_IT_number 1
loop_
_space_group_symop_operation_xyz
'x,y,z'
loop_
_atom_site_label
_atom_site_fract_x
_atom_site_fract_y
_atom_site_fract_z
_atom_site_occupancy
P1 0.1630 0.3285 0.3260 1
Ba1 0.6749 0.0869 0.3497 1
Ba2 0.3309 0.4139 0.6618 1
S1 0.8376 0.1642 0.6752 1
S2 0.1624 0.8358 0.3248 1
Ba3 0.9991 0.7280 0.9982 1
Ba4 0.6691 0.5861 0.3382 1
S3 0.5000 0.5000 0.0000 1
P2 0.8370 0.6715 0.6740 1
Ba5 0.0009 0.2720 0.0018 1
Ba6 0.3251 0.9131 0.6503 1
Br1 0.5000 0.0000 0.0000 1
```